Here is an optimized crystal structure of DyErScCu from Alexandria. Energies are from PBE.

The space group is F-43m (No. 216) and the conventional cell measures 7.2581, 7.2581 and 7.2581 Å, with angles of 90.00, 90.00 and 90.00 degrees. Symmetry generates all atoms from Dy at (0.0000, 0.0000, 0.0000), Er at (0.0000, 0.0000, 0.5000), Sc at (0.2500, 0.2500, 0.7500) and Cu at (0.2500, 0.2500, 0.2500).

The density of states at the Fermi level is 13.8 states/eV/cell. The formation energy comes out at 0.119 eV/atom. The value obtained for the size of the total moment is 0.01 μB per cell. As for the energy: -4.779 eV per atom.

***

Here is an optimized crystal structure of ZrNiIr from Alexandria. Energies are from PBE.

The space group is F-43m (No. 216) and the conventional cell measures 5.9295, 5.9295 and 5.9295 Å, with angles of 90.00, 90.00 and 90.00 degrees. Symmetry generates all atoms from Zr at (0.0000, 0.0000, 0.0000), Ni at (0.2500, 0.2500, 0.2500) and Ir at (0.0000, 0.0000, 0.5000).

The density of states at the Fermi level is 8.4 states/eV/cell. The formation energy comes out at -0.250 eV/atom. The value obtained for the size of the total moment is 0.00 μB per cell. As for the energy: -7.980 eV per atom.

***

Here is an optimized crystal structure of TmGaOs from Alexandria. Energies are from PBE.

The space group is I4mm (No. 107) and the conventional cell measures 3.3287, 3.3287 and 9.8888 Å, with angles of 90.00, 90.00 and 90.00 degrees. Symmetry generates all atoms from Tm at (0.0000, 0.0000, 0.0000), Ga at (0.0000, 0.0000, 0.7008) and Os at (0.0000, 0.0000, 0.3194).

The density of states at the Fermi level is 0.7 states/eV/cell. The formation energy comes out at -0.323 eV/atom. The value obtained for the size of the total moment is 0.00 μB per cell. As for the energy: -6.566 eV per atom.